A relaxed KYbW2O8 crystal, computed with GGA+U.

Geometry as extended XYZ:
```
24
Lattice="5.6023 -5.3729 0.0000 5.6023 5.3729 0.0000 -4.8860 0.0000 5.6394" Properties=species:S:1:pos:R:3 pbc="T T T"
K 1.9378 3.0713 4.2295
K 4.3808 -3.0713 1.4098
Yb 4.3808 2.9680 1.4098
Yb 1.9378 -2.9680 4.2295
W 1.9590 0.0386 1.6811
W -0.4840 -0.0386 4.5008
W 6.8026 0.0386 1.1386
W 4.3596 -0.0386 3.9583
O -1.7690 1.1585 3.9724
O 1.5811 1.5355 0.6740
O 0.7750 0.6453 3.1717
O 0.6739 -1.1585 1.1528
O -0.8619 -1.5355 3.4937
O 3.2180 -0.6453 0.3520
O 5.2909 1.1895 0.2365
O 3.4706 1.1895 2.5832
O 2.8480 -1.1895 3.0562
O 1.0276 -1.1895 5.4029
O 3.1006 0.6453 5.2874
O 7.1805 1.5355 2.1457
O 5.6446 1.1585 4.4866
O 5.5436 -0.6453 2.4677
O 4.7375 -1.5355 4.9654
O 8.0876 -1.1585 1.6669
```

uncorrected energy = -6.968 eV per atom
symmetry = C2/c (15)